Record 1
The following is a DFT calculation (PBE-GGA) of a relaxed Mn2AlSb crystal.

Cell: 4.573 2.982 4.745 Å, 88.25 90.00 90.00°
Fractional coordinates of all 4 atoms:
Mn 0.500 0.145 0.286
Mn 0.000 0.101 0.947
Al 0.500 0.637 0.829
Sb 0.000 0.616 0.438

Values from the calculation:
- formation energy (no corrections) (eV per atom) = 0.1756

***

Record 2
The following is a DFT calculation (PBE-GGA) of a relaxed Nd8Tl4In3 crystal.

Cell: 8.965 8.988 8.988 Å, 89.98 119.93 119.93°
Fractional coordinates of all 15 atoms:
Nd 0.500 0.251 0.749
Nd 0.000 0.720 0.280
Nd 0.001 0.281 0.281
Nd 0.560 0.281 0.281
Nd 0.999 0.719 0.719
Nd 0.000 0.280 0.720
Nd 0.500 0.749 0.251
Nd 0.440 0.719 0.719
In 0.500 0.500 0.500
In 0.500 0.000 0.500
In 0.500 0.500 0.000
Tl 0.000 0.000 0.000
Tl 0.000 0.000 0.500
Tl 0.000 0.500 0.000
Tl 0.500 0.000 0.000

Values from the calculation:
- raw total energy (eV per atom) = -3.861

***

Table of Fermi-level density of states (states/eV per atom), in record order: 0.73; 0.88